VASP calculation (GGA+U) on an optimized crystal structure of ZnCrP2O7.

Cell lengths 6.4574, 7.2678, 6.3171 Å; angles 75.13, 81.36, 70.75 degrees
Last column: nearest neighbours and their distance in Å.
Sites, in units of the cell vectors:
Zn: 0.2905 0.1930 0.9307  5 O 2.01-2.19
P: 0.2074 0.7683 0.1657  4 O 1.52-1.59
P: 0.3599 0.3272 0.3902  4 O 1.51-1.65
Cr: 0.9076 0.2260 0.3261  4 O 2.01-2.10
O: 0.3685 0.5516 0.2576  2 P 1.59-1.65
O: 0.2179 0.2721 0.2521  1 P 1.56
O: 0.9376 0.1397 0.6524  1 P 1.52
O: 0.3686 0.8855 0.0476  1 P 1.55
Cr: 0.0924 0.7739 0.6739  4 O 2.01-2.10
O: 0.2539 0.3496 0.6197  1 P 1.53
P: 0.6400 0.6728 0.6098  4 O 1.51-1.65
O: 0.9413 0.2502 0.9930  1 P 1.55
O: 0.0624 0.8603 0.3476  1 P 1.52
Zn: 0.7095 0.8070 0.0693  5 O 2.01-2.19
O: 0.6315 0.4484 0.7424  2 P 1.59-1.65
O: 0.6314 0.1145 0.9524  1 P 1.55
P: 0.7926 0.2317 0.8342  4 O 1.52-1.59
O: 0.5976 0.2019 0.3803  1 P 1.51
O: 0.4023 0.7981 0.6197  1 P 1.51
O: 0.7462 0.6504 0.3803  1 P 1.53
O: 0.0587 0.7498 0.0069  1 P 1.55
O: 0.7821 0.7279 0.7479  1 P 1.56

Calculated values
DOS(E_F), states/eV per cell: 0.00
ρ, g/cm3: 3.6
Energy relative to the lowest polymorph listed for this composition, kcal/mol of atoms: 0.09